# PBE-GGA Tm3CrS6, optimized geometry
data_Tm3CrS6
_space_group_name_H-M_alt 'P n n m'
_space_group_IT_number 58
_cell_length_a 13.172
_cell_length_b 15.809
_cell_length_c 3.726
_cell_angle_alpha 90.00
_cell_angle_beta 90.00
_cell_angle_gamma 90.00
loop_
_space_group_symop_operation_xyz
'x,y,z'
'-x,-y,-z'
'-x,-y,z'
'x,y,-z'
'x+1/2,-y+1/2,-z+1/2'
'-x+1/2,y+1/2,z+1/2'
'-x+1/2,y+1/2,-z+1/2'
'x+1/2,-y+1/2,z+1/2'
loop_
_atom_site_label
_atom_site_fract_x
_atom_site_fract_y
_atom_site_fract_z
_atom_site_occupancy
Tm1 0.050 0.222 0.000 1
Tm2 0.182 0.647 0.000 1
Tm3 0.243 0.901 0.500 1
Cr1 0.000 0.000 0.500 1
Cr2 0.000 0.500 0.500 1
S1 0.021 0.402 0.000 1
S2 0.082 0.924 0.000 1
S3 0.104 0.753 0.500 1
S4 0.120 0.110 0.500 1
S5 0.182 0.520 0.500 1
S6 0.189 0.290 0.500 1
# raw formation energy	-1714.8	meV per atom
# energy relative to the lowest polymorph listed for this composition	0.000	eV/atom
# total magnetic moment	2.999	μB/f.u.

---

# PBE-GGA Tm3CrS6, optimized geometry
data_Tm3CrS6
_space_group_name_H-M_alt 'C m c 21'
_space_group_IT_number 36
_cell_length_a 10.495
_cell_length_b 12.978
_cell_length_c 6.486
_cell_angle_alpha 90.00
_cell_angle_beta 90.00
_cell_angle_gamma 90.00
loop_
_space_group_symop_operation_xyz
'x,y,z'
'-x,-y,z+1/2'
'-x,y,z'
'x,-y,z+1/2'
'x+1/2,y+1/2,z'
'-x+1/2,-y+1/2,z+1/2'
'-x+1/2,y+1/2,z'
'x+1/2,-y+1/2,z+1/2'
loop_
_atom_site_label
_atom_site_fract_x
_atom_site_fract_y
_atom_site_fract_z
_atom_site_occupancy
Tm1 0.000 0.099 0.000 1
Tm2 0.184 0.399 0.085 1
Cr1 0.000 0.306 0.620 1
S1 0.000 0.279 0.268 1
S2 0.000 0.462 0.793 1
S3 0.163 0.028 0.292 1
S4 0.163 0.237 0.800 1
# raw formation energy	-1614.2	meV per atom
# energy relative to the lowest polymorph listed for this composition	0.101	eV/atom
# total magnetic moment	3.000	μB/f.u.

---

# PBE-GGA UCrS, optimized geometry
data_UCrS
_space_group_name_H-M_alt 'F d d d'
_space_group_IT_number 70
_cell_length_a 8.101
_cell_length_b 10.475
_cell_length_c 10.540
_cell_angle_alpha 90.00
_cell_angle_beta 90.00
_cell_angle_gamma 90.00
loop_
_space_group_symop_operation_xyz
'x,y,z'
'-x,-y,-z'
'-x+1/4,-y+1/4,z'
'x+1/4,y+1/4,-z'
'x,-y+1/4,-z+1/4'
'-x,y+1/4,z+1/4'
'-x+1/4,y,-z+1/4'
'x+1/4,-y,z+1/4'
'x,y+1/2,z+1/2'
'-x,-y+1/2,-z+1/2'
'-x+1/4,-y+3/4,z+1/2'
'x+1/4,y+3/4,-z+1/2'
'x,-y+3/4,-z+3/4'
'-x,y+3/4,z+3/4'
'-x+1/4,y+1/2,-z+3/4'
'x+1/4,-y+1/2,z+3/4'
'x+1/2,y,z+1/2'
'-x+1/2,-y,-z+1/2'
'-x+3/4,-y+1/4,z+1/2'
'x+3/4,y+1/4,-z+1/2'
'x+1/2,-y+1/4,-z+3/4'
'-x+1/2,y+1/4,z+3/4'
'-x+3/4,y,-z+3/4'
'x+3/4,-y,z+3/4'
'x+1/2,y+1/2,z'
'-x+1/2,-y+1/2,-z'
'-x+3/4,-y+3/4,z'
'x+3/4,y+3/4,-z'
'x+1/2,-y+3/4,-z+1/4'
'-x+1/2,y+3/4,z+1/4'
'-x+3/4,y+1/2,-z+1/4'
'x+3/4,-y+1/2,z+1/4'
loop_
_atom_site_label
_atom_site_fract_x
_atom_site_fract_y
_atom_site_fract_z
_atom_site_occupancy
U1 0.125 0.125 0.327 1
Cr1 0.000 0.000 0.500 1
S1 0.079 0.375 0.375 1
# raw formation energy	-205.4	meV per atom
# total magnetic moment	0.785	μB/f.u.

---

# PBE-GGA U3Cr5S12, optimized geometry
data_U3Cr5S12
_space_group_name_H-M_alt 'I a -3 d'
_space_group_IT_number 230
_space_group_name_Hall '-I 4bd 2c 3'
_cell_length_a 14.809
_cell_length_b 14.809
_cell_length_c 14.809
_cell_angle_alpha 90.00
_cell_angle_beta 90.00
_cell_angle_gamma 90.00
loop_
_atom_site_label
_atom_site_fract_x
_atom_site_fract_y
_atom_site_fract_z
_atom_site_occupancy
U1 0.000 0.250 0.125 1
Cr1 0.000 0.000 0.000 1
Cr2 0.000 0.250 0.375 1
S1 0.026 0.062 0.649 1
# raw formation energy	-918.4	meV per atom
# total magnetic moment	24.003	μB/f.u.

---

# PBE-GGA U2CrS4, optimized geometry
data_U2CrS4
_space_group_name_H-M_alt 'C 1 2/m 1'
_space_group_IT_number 12
_cell_length_a 10.512
_cell_length_b 3.741
_cell_length_c 7.365
_cell_angle_alpha 90.00
_cell_angle_beta 117.33
_cell_angle_gamma 90.00
loop_
_space_group_symop_operation_xyz
'x,y,z'
'-x,-y,-z'
'-x,y,-z'
'x,-y,z'
'x+1/2,y+1/2,z'
'-x+1/2,-y+1/2,-z'
'-x+1/2,y+1/2,-z'
'x+1/2,-y+1/2,z'
loop_
_atom_site_label
_atom_site_fract_x
_atom_site_fract_y
_atom_site_fract_z
_atom_site_occupancy
U1 0.163 0.000 0.197 1
Cr1 0.000 0.500 0.500 1
S1 0.072 0.500 0.863 1
S2 0.151 0.000 0.564 1
# raw formation energy	-1113.1	meV per atom
# total magnetic moment	3.932	μB/f.u.

---

# PBE-GGA U6Cr3S14, optimized geometry
data_U6Cr3S14
_space_group_name_H-M_alt 'P 3'
_space_group_IT_number 143
_cell_length_a 9.7119
_cell_length_b 9.7119
_cell_length_c 5.7189
_cell_angle_alpha 90.00
_cell_angle_beta 90.00
_cell_angle_gamma 120.00
loop_
_space_group_symop_operation_xyz
'x,y,z'
'-y,x-y,z'
'-x+y,-x,z'
loop_
_atom_site_label
_atom_site_fract_x
_atom_site_fract_y
_atom_site_fract_z
_atom_site_occupancy
U1 0.0381 0.4793 0.0000 1
U2 0.2940 0.1922 0.5016 1
Cr1 0.0000 0.0000 0.0980 1
Cr2 0.3333 0.6667 0.5946 1
Cr3 0.6667 0.3333 0.7359 1
S1 0.0000 0.0000 0.7023 1
S2 0.0935 0.2518 0.2418 1
S3 0.1793 0.7632 0.7435 1
S4 0.3333 0.6667 0.2007 1
S5 0.4220 0.2349 0.9700 1
S6 0.5168 0.0906 0.4977 1
# raw formation energy	-1164.5	meV per atom
# total magnetic moment	26.100	μB/f.u.

---

# PBE-GGA ZrU2CrS6, optimized geometry
data_ZrU2CrS6
_space_group_name_H-M_alt 'R 3'
_space_group_IT_number 146
_space_group_name_Hall 'R 3'
_cell_length_a 6.5366
_cell_length_b 6.5366
_cell_length_c 18.0366
_cell_angle_alpha 90.00
_cell_angle_beta 90.00
_cell_angle_gamma 120.00
loop_
_atom_site_label
_atom_site_fract_x
_atom_site_fract_y
_atom_site_fract_z
_atom_site_occupancy
Zr1 0.0000 0.0000 0.0000 1
U1 0.0000 0.0000 0.3120 1
U2 0.0000 0.0000 0.8137 1
Cr1 0.0000 0.0000 0.4999 1
S1 0.0020 0.3697 0.2438 1
S2 0.0477 0.6967 0.0804 1
# raw formation energy	-1175.5	meV per atom
# total magnetic moment	3.353	μB/f.u.

---

# PBE-GGA VCrS4, optimized geometry
data_VCrS4
_space_group_name_H-M_alt 'P 1 21/c 1'
_space_group_IT_number 14
_cell_length_a 6.623
_cell_length_b 5.043
_cell_length_c 6.740
_cell_angle_alpha 90.00
_cell_angle_beta 119.63
_cell_angle_gamma 90.00
loop_
_space_group_symop_operation_xyz
'x,y,z'
'-x,-y,-z'
'-x,y+1/2,-z+1/2'
'x,-y+1/2,z+1/2'
loop_
_atom_site_label
_atom_site_fract_x
_atom_site_fract_y
_atom_site_fract_z
_atom_site_occupancy
V1 0.000 0.000 0.000 1
Cr1 0.500 0.000 0.000 1
S1 0.179 0.215 0.360 1
S2 0.319 0.712 0.139 1
# raw formation energy	-645.0	meV per atom
# energy relative to the lowest polymorph listed for this composition	0.056	eV/atom
# total magnetic moment	2.951	μB/f.u.